# 1
# La2MnNi9 | the Alexandria database | GGA-PBE | optimized geometry
data_La2MnNi9
_chemical_formula_sum 'La6 Mn3 Ni27'
_cell_length_a 4.9243
_cell_length_b 4.9243
_cell_length_c 24.9139
_cell_angle_alpha 90.00
_cell_angle_beta 90.00
_cell_angle_gamma 120.00
_space_group_name_H-M_alt 'R -3 m'
_space_group_IT_number 166
_space_group_name_Hall '-R 3 2"'
loop_
_atom_site_label
_atom_site_fract_x
_atom_site_fract_y
_atom_site_fract_z
_atom_site_occupancy
La1 0.0000 0.0000 0.1342 1
Mn1 0.0000 0.0000 0.0000 1
Ni1 0.0000 0.0000 0.3328 1
Ni2 0.0000 0.0000 0.5000 1
Ni3 0.0006 0.5003 0.0780 1
# E = -217.70 eV/cell
# crystal system = trigonal
# energy relative to the elements = -1.5 eV per formula unit

=====

# 2
# La3MnNi8 | the Alexandria database | GGA-PBE | optimized geometry
data_La3MnNi8
_chemical_formula_sum 'La9 Mn3 Ni24'
_cell_length_a 5.0857
_cell_length_b 5.0857
_cell_length_c 25.1474
_cell_angle_alpha 90.00
_cell_angle_beta 90.00
_cell_angle_gamma 120.00
_space_group_name_H-M_alt 'R 3 m'
_space_group_IT_number 160
_space_group_name_Hall 'R 3 -2"'
loop_
_atom_site_label
_atom_site_fract_x
_atom_site_fract_y
_atom_site_fract_z
_atom_site_occupancy
La1 0.0000 0.0000 0.0000 1
La2 0.0000 0.0000 0.1279 1
La3 0.0000 0.0000 0.6146 1
Mn1 0.0000 0.0000 0.4922 1
Ni1 0.0000 0.0000 0.3104 1
Ni2 0.0000 0.0000 0.8114 1
Ni3 0.0010 0.5005 0.5577 1
Ni4 0.0046 0.5023 0.0636 1
# E = -219.69 eV/cell
# crystal system = trigonal
# energy relative to the elements = -3.0 eV per formula unit

=====

# 3
# La2MnNi | the Alexandria database | GGA-PBE | optimized geometry
data_La2MnNi
_chemical_formula_sum 'La8 Mn4 Ni4'
_cell_length_a 6.991
_cell_length_b 6.991
_cell_length_c 6.991
_cell_angle_alpha 90.00
_cell_angle_beta 90.00
_cell_angle_gamma 90.00
_space_group_name_H-M_alt 'F -4 3 m'
_space_group_IT_number 216
_space_group_name_Hall 'F -4 2 3'
loop_
_atom_site_label
_atom_site_fract_x
_atom_site_fract_y
_atom_site_fract_z
_atom_site_occupancy
La1 0.000 0.000 0.000 1
La2 0.250 0.250 0.250 1
Mn1 0.000 0.000 0.500 1
Ni1 0.250 0.250 0.750 1
# E = -96.17 eV/cell
# crystal system = cubic
# energy relative to the elements = 0.8 eV per formula unit

=====

# 4
# LaMnNi3 | the Alexandria database | GGA-PBE | optimized geometry
data_LaMnNi3
_chemical_formula_sum 'La1 Mn1 Ni3'
_cell_length_a 4.727
_cell_length_b 4.727
_cell_length_c 4.727
_cell_angle_alpha 90.00
_cell_angle_beta 90.00
_cell_angle_gamma 90.00
_space_group_name_H-M_alt 'P m -3 m'
_space_group_IT_number 221
_space_group_name_Hall '-P 4 2 3'
loop_
_atom_site_label
_atom_site_fract_x
_atom_site_fract_y
_atom_site_fract_z
_atom_site_occupancy
La1 0.000 0.000 0.000 1
Mn1 0.500 0.500 0.500 1
Ni1 0.000 0.000 0.500 1
# E = -24.98 eV/cell
# crystal system = cubic
# energy relative to the elements = 6.5 eV per formula unit

=====

# 5
# La2MnNi | the Alexandria database | GGA-PBE | optimized geometry
data_La2MnNi
_chemical_formula_sum 'La2 Mn1 Ni1'
_cell_length_a 3.619
_cell_length_b 3.619
_cell_length_c 7.312
_cell_angle_alpha 90.00
_cell_angle_beta 90.00
_cell_angle_gamma 90.00
_space_group_name_H-M_alt 'P 4/m m m'
_space_group_IT_number 123
_space_group_name_Hall '-P 4 2'
loop_
_atom_site_label
_atom_site_fract_x
_atom_site_fract_y
_atom_site_fract_z
_atom_site_occupancy
La1 0.000 0.000 0.233 1
Mn1 0.500 0.500 0.500 1
Ni1 0.500 0.500 0.000 1
# E = -24.61 eV/cell
# crystal system = tetragonal
# energy relative to the elements = 0.2 eV per formula unit

=====

# 6
# LaMnNi10 | the Alexandria database | GGA-PBE | optimized geometry
data_LaMnNi10
_chemical_formula_sum 'La1 Mn1 Ni10'
_cell_length_a 4.007
_cell_length_b 4.800
_cell_length_c 8.377
_cell_angle_alpha 90.00
_cell_angle_beta 90.00
_cell_angle_gamma 90.00
_space_group_name_H-M_alt 'P m m m'
_space_group_IT_number 47
loop_
_space_group_symop_operation_xyz
'x,y,z'
'-x,-y,-z'
'-x,-y,z'
'x,y,-z'
'x,-y,-z'
'-x,y,z'
'-x,y,-z'
'x,-y,z'
loop_
_atom_site_label
_atom_site_fract_x
_atom_site_fract_y
_atom_site_fract_z
_atom_site_occupancy
La1 0.000 0.000 0.000 1
Mn1 0.000 0.500 0.500 1
Ni1 0.000 0.000 0.347 1
Ni2 0.000 0.500 0.191 1
Ni3 0.500 0.000 0.500 1
Ni4 0.500 0.254 0.261 1
Ni5 0.500 0.500 0.000 1
# E = -72.64 eV/cell
# crystal system = orthorhombic
# energy relative to the elements = -0.7 eV per formula unit